A geometry-optimized UTi2H structure, computed with PBE.

Properties
* DOS(E_F): 2.191 states/eV/atom
* excess energy over the best structure of this formula in the dataset: 0.000 eV per atom
* total magnetic moment: 0.00 μB/f.u.

Cell and atoms, written as CIF:
```
data_UTi2H
_cell_length_a 2.9143
_cell_length_b 2.9143
_cell_length_c 23.3995
_cell_angle_alpha 90.00
_cell_angle_beta 90.00
_cell_angle_gamma 120.00
_space_group_name_H-M_alt 'R -3 m'
_space_group_IT_number 166
_space_group_name_Hall '-R 3 2"'
loop_
_atom_site_label
_atom_site_type_symbol
_atom_site_fract_x
_atom_site_fract_y
_atom_site_fract_z
_atom_site_occupancy
U1 U 0.0000 0.0000 0.0000 1
Ti1 Ti 0.0000 0.0000 0.2191 1
H1 H 0.0000 0.0000 0.5000 1
```